VAgSnCl6: optimized geometry, PBE-GGA.

## Properties
Raw total energy: -3.956 eV/atom
Density of states at the Fermi level: 13.73 states/eV per cell
Volume: 461 Å³ per cell
Calculated density: 3.5 Mg/m³
Crystal system: trigonal
Spin magnetization: 2.000 μB per formula unit

Cell and atoms, written as POSCAR:
```
VAgSnCl6
1.0
6.764 0.000 0.000
-3.382 5.858 0.000
0.000 0.000 11.624
V Ag Sn Cl
2 2 2 12
Cartesian
0.000 3.905 2.906 V
3.382 1.953 8.718 V
0.000 0.000 0.000 Ag
0.000 0.000 5.812 Ag
0.000 3.905 8.718 Sn
3.382 1.953 2.906 Sn
-0.962 2.188 1.519 Cl
-1.969 3.930 4.293 Cl
0.962 2.188 4.293 Cl
-1.006 5.597 1.519 Cl
2.376 0.260 7.330 Cl
1.413 1.927 10.105 Cl
1.969 3.930 1.519 Cl
1.006 5.597 4.293 Cl
4.388 0.260 10.105 Cl
2.419 3.670 7.330 Cl
5.350 1.927 7.330 Cl
4.344 3.670 10.105 Cl
```


Rb2GdCl5: optimized geometry, PBE-GGA.

## Properties
Raw total energy: -5.323 eV/atom
Density of states at the Fermi level: 0.00 states/eV per cell
Volume: 992 Å³ per cell
Calculated density: 3.4 Mg/m³
Crystal system: orthorhombic
Spin magnetization: 6.954 μB per formula unit

Cell and atoms, written as POSCAR:
```
Rb2GdCl5
1.0
13.415 0.000 0.000
0.000 8.861 0.000
0.000 0.000 8.344
Rb Gd Cl
8 4 20
Cartesian
2.291 0.048 0.505 Rb
2.291 4.382 0.505 Rb
4.416 4.479 4.677 Rb
4.416 8.813 4.677 Rb
8.998 0.048 3.668 Rb
8.998 4.382 3.668 Rb
11.124 4.479 7.840 Rb
11.124 8.813 7.840 Rb
0.055 2.215 4.745 Gd
6.653 6.646 0.573 Gd
6.762 2.215 7.771 Gd
13.360 6.646 3.599 Gd
0.182 2.215 7.485 Cl
0.901 4.812 5.507 Cl
0.901 8.479 5.507 Cl
2.333 2.215 3.278 Cl
2.576 6.646 2.948 Cl
4.131 2.215 7.120 Cl
4.374 6.646 7.450 Cl
5.806 0.382 1.335 Cl
5.806 4.049 1.335 Cl
6.525 6.646 3.313 Cl
6.890 2.215 5.031 Cl
7.608 4.812 7.009 Cl
7.608 8.479 7.009 Cl
9.040 2.215 0.894 Cl
9.283 6.646 1.224 Cl
10.838 2.215 5.396 Cl
11.082 6.646 5.066 Cl
12.513 0.382 2.837 Cl
12.513 4.049 2.837 Cl
13.232 6.646 0.859 Cl
```


HfMgSe: optimized geometry, PBE-GGA.

## Properties
Energy above the lowest structure with this stoichiometry: 145.4 meV per atom
Density of states at the Fermi level: 8.81 states/eV per cell
Volume: 284 Å³ per cell
Calculated density: 6.6 Mg/m³
Crystal system: trigonal
Spin magnetization: 0.274 μB per formula unit

Cell and atoms, written as POSCAR:
```
HfMgSe
1.0
3.507 0.000 0.000
-1.753 3.037 0.000
0.000 0.000 26.621
Hf Mg Se
4 4 4
Cartesian
0.000 2.025 3.538 Hf
0.000 2.025 16.897 Hf
1.753 1.012 9.724 Hf
1.753 1.012 23.083 Hf
0.000 2.025 7.256 Mg
0.000 2.025 12.087 Mg
1.753 1.012 14.534 Mg
1.753 1.012 19.365 Mg
0.000 2.025 21.240 Se
0.000 2.025 24.752 Se
1.753 1.012 1.869 Se
1.753 1.012 5.381 Se
```


K3Na12Cl5: optimized geometry, PBE-GGA.

## Properties
Raw total energy: -2.079 eV/atom
Density of states at the Fermi level: 30.10 states/eV per cell
Volume: 3439 Å³ per cell
Calculated density: 1.1 Mg/m³
Crystal system: cubic
Spin magnetization: 0.000 μB per formula unit

Cell and atoms, written as POSCAR:
```
K3Na12Cl5
1.0
-9.509 9.509 9.509
9.509 -9.509 9.509
9.509 9.509 -9.509
K Na Cl
12 48 20
Cartesian
4.755 2.377 0.000 K
9.509 4.755 -2.377 K
2.377 0.000 4.755 K
11.886 0.000 4.755 K
0.000 4.755 2.377 K
4.755 -2.377 9.509 K
4.755 11.886 0.000 K
9.509 4.755 7.132 K
-2.377 9.509 4.755 K
7.132 9.509 4.755 K
0.000 4.755 11.886 K
4.755 7.132 9.509 K
7.331 -5.664 5.780 Na
16.442 1.026 -0.909 Na
13.355 3.729 -2.178 Na
10.418 -6.933 8.483 Na
5.780 7.331 -5.664 Na
8.483 -0.909 2.577 Na
12.086 1.026 0.909 Na
11.687 -3.845 5.780 Na
8.483 10.418 -6.933 Na
5.780 -2.178 5.664 Na
5.664 5.780 -2.178 Na
8.600 2.577 1.026 Na
8.600 -2.577 8.483 Na
15.173 3.729 2.178 Na
8.483 8.600 -2.577 Na
5.780 2.178 3.845 Na
2.577 8.483 -0.909 Na
11.687 3.845 3.729 Na
5.780 11.687 -3.845 Na
8.483 0.909 6.933 Na
3.845 5.780 2.178 Na
10.418 6.933 1.026 Na
6.933 8.483 0.909 Na
7.331 5.664 3.729 Na
2.178 3.845 5.780 Na
2.577 1.026 8.600 Na
-0.909 2.577 8.483 Na
5.664 3.729 7.331 Na
1.026 8.600 2.577 Na
3.729 -2.178 13.355 Na
-2.178 5.664 5.780 Na
6.933 1.026 10.418 Na
3.729 7.331 5.664 Na
1.026 0.909 12.086 Na
-5.664 5.780 7.331 Na
0.909 12.086 1.026 Na
0.909 6.933 8.483 Na
3.845 3.729 11.687 Na
3.729 11.687 3.845 Na
1.026 -0.909 16.442 Na
-2.178 13.355 3.729 Na
-2.577 8.483 8.600 Na
1.026 10.418 6.933 Na
3.729 2.178 15.173 Na
-0.909 16.442 1.026 Na
-3.845 5.780 11.687 Na
-6.933 8.483 10.418 Na
2.178 15.173 3.729 Na
0.000 0.000 0.000 Cl
4.755 4.755 -4.755 Cl
4.755 -4.755 4.755 Cl
9.509 0.000 0.000 Cl
14.264 2.377 0.000 Cl
9.509 -4.755 7.132 Cl
7.132 9.509 -4.755 Cl
7.132 0.000 4.755 Cl
4.755 7.132 0.000 Cl
9.509 4.755 2.377 Cl
-4.755 4.755 4.755 Cl
0.000 9.509 0.000 Cl
0.000 0.000 9.509 Cl
4.755 4.755 4.755 Cl
0.000 4.755 7.132 Cl
4.755 2.377 9.509 Cl
2.377 9.509 4.755 Cl
2.377 0.000 14.264 Cl
0.000 14.264 2.377 Cl
-4.755 7.132 9.509 Cl
```


CaAsPtRh: optimized geometry, PBE-GGA.

## Properties
Density of states at the Fermi level: 0.97 states/eV per cell
Volume: 84 Å³ per cell
Calculated density: 8.2 Mg/m³
ΔH_f (0 K): -2.2 eV/f.u.
Crystal system: orthorhombic
Spin magnetization: 0.000 μB per formula unit

Cell and atoms, written as POSCAR:
```
CaAsPtRh
1.0
4.349 0.000 0.000
0.000 1.966 4.897
0.000 -1.966 4.897
Ca As Pt Rh
1 1 1 1
Cartesian
0.000 0.000 0.000 Ca
2.175 0.000 5.942 As
0.000 0.000 7.068 Pt
2.175 0.000 2.427 Rh
```


NpZn2CuAu4: optimized geometry, PBE-GGA.

## Properties
Density of states at the Fermi level: 16.60 states/eV per cell
Volume: 148 Å³ per cell
Calculated density: 13.7 Mg/m³
ΔH_f (0 K): -1.0 eV/f.u.
Crystal system: trigonal
Spin magnetization: 4.007 μB per formula unit

Cell and atoms, written as POSCAR:
```
NpZn2CuAu4
1.0
2.232 1.289 8.586
-2.232 1.289 8.586
0.000 -2.577 8.586
Np Zn Cu Au
1 2 1 4
Cartesian
0.000 0.000 0.000 Np
0.000 0.000 6.210 Zn
0.000 0.000 19.547 Zn
0.000 0.000 12.878 Cu
0.000 0.000 3.396 Au
0.000 0.000 10.199 Au
0.000 0.000 15.558 Au
0.000 0.000 22.360 Au
```


LaTl2Co: optimized geometry, PBE-GGA.

## Properties
Density of states at the Fermi level: 2.35 states/eV per cell
Volume: 99 Å³ per cell
Calculated density: 10.1 Mg/m³
ΔH_f (0 K): 0.3 eV/f.u.
Crystal system: tetragonal
Spin magnetization: 1.035 μB per formula unit

Cell and atoms, written as POSCAR:
```
LaTl2Co
1.0
3.440 0.000 0.000
0.000 3.440 0.000
0.000 0.000 8.392
La Tl Co
1 2 1
Cartesian
0.000 0.000 0.000 La
0.000 0.000 5.099 Tl
1.720 1.720 2.695 Tl
1.720 1.720 6.684 Co
```


Hf2Tl2CrSe6: optimized geometry, PBE-GGA.

## Properties
Raw total energy: -5.926 eV/atom
Density of states at the Fermi level: 5.31 states/eV per cell
Volume: 300 Å³ per cell
Calculated density: 7.1 Mg/m³
Crystal system: monoclinic
Spin magnetization: 3.687 μB per formula unit

Cell and atoms, written as POSCAR:
```
Hf2Tl2CrSe6
1.0
3.287 -5.700 0.000
3.287 5.700 0.000
-2.199 0.000 8.011
Hf Tl Cr Se
2 2 1 6
Cartesian
3.287 3.769 0.000 Hf
3.287 -3.769 0.000 Hf
2.188 1.917 4.005 Tl
2.188 -1.917 4.005 Tl
3.287 0.000 0.000 Cr
-0.012 1.863 6.463 Se
1.153 0.000 1.498 Se
-0.012 -1.863 6.463 Se
4.388 1.863 1.548 Se
3.222 0.000 6.513 Se
4.388 -1.863 1.548 Se
```


KCuW2: optimized geometry, PBE-GGA.

## Properties
Energy above the lowest structure with this stoichiometry: 768.6 meV per atom
Density of states at the Fermi level: 0.41 states/eV per cell
Volume: 71 Å³ per cell
Calculated density: 11.0 Mg/m³
ΔH_f (0 K): 6.1 eV/f.u.
Crystal system: cubic
Spin magnetization: 0.000 μB per formula unit

Cell and atoms, written as POSCAR:
```
KCuW2
1.0
0.000 3.282 3.282
3.282 0.000 3.282
3.282 3.282 0.000
K Cu W
1 1 2
Cartesian
0.000 0.000 0.000 K
4.923 4.923 4.923 Cu
1.641 1.641 1.641 W
3.282 3.282 3.282 W
```


CuSi3P: optimized geometry, PBE-GGA.

## Properties
Energy above the lowest structure with this stoichiometry: 0.0 meV per atom
Density of states at the Fermi level: 2.29 states/eV per cell
Volume: 89 Å³ per cell
Calculated density: 3.3 Mg/m³
Crystal system: cubic
Spin magnetization: 0.000 μB per formula unit

Cell and atoms, written as POSCAR:
```
CuSi3P
1.0
4.473 0.000 0.000
0.000 4.473 0.000
0.000 0.000 4.473
Cu Si P
1 3 1
Cartesian
0.000 0.000 0.000 Cu
0.000 0.000 2.236 Si
0.000 2.236 0.000 Si
2.236 0.000 0.000 Si
2.236 2.236 2.236 P
```


Ca3PmHg4: optimized geometry, PBE-GGA.

## Properties
Density of states at the Fermi level: 5.25 states/eV per cell
Volume: 218 Å³ per cell
Calculated density: 8.1 Mg/m³
ΔH_f (0 K): -4.4 eV/f.u.
Crystal system: monoclinic
Spin magnetization: 0.000 μB per formula unit

Cell and atoms, written as POSCAR:
```
Ca3PmHg4
1.0
7.965 -2.698 0.000
7.965 2.698 0.000
-1.821 0.000 5.079
Ca Pm Hg
3 1 4
Cartesian
0.000 0.000 0.000 Ca
3.514 0.000 1.265 Ca
10.594 0.000 3.814 Ca
7.054 0.000 2.540 Pm
0.832 0.000 3.167 Hg
4.401 0.000 4.451 Hg
9.708 0.000 0.629 Hg
13.276 0.000 1.912 Hg
```


Zn2InH: optimized geometry, PBE-GGA.

## Properties
Energy above the lowest structure with this stoichiometry: 0.0 meV per atom
Density of states at the Fermi level: 2.90 states/eV per cell
Volume: 135 Å³ per cell
Calculated density: 6.1 Mg/m³
Crystal system: tetragonal
Spin magnetization: 0.000 μB per formula unit

Cell and atoms, written as POSCAR:
```
Zn2InH
1.0
-2.385 2.385 5.930
2.385 -2.385 5.930
2.385 2.385 -5.930
Zn In H
4 2 2
Cartesian
0.294 1.193 1.483 Zn
-1.193 2.091 4.448 Zn
-0.294 3.578 1.483 Zn
1.193 2.679 4.448 Zn
2.385 0.000 2.965 In
0.000 0.000 5.930 In
0.000 0.000 0.000 H
0.000 2.385 2.965 H
```